Record 1
# LaIrOs2 | the Alexandria database | PBE | relaxed
# Calculated formation energy, meV/atom: 568
# Mass density, Mg/m³: 16.6
# Calculated volume, Å³ per atom: 17.79
# Distance to the lowest polymorph of the same formula, eV per formula unit: 1.504
data_LaIrOs2
_symmetry_space_group_name_H-M 'I 4/m m m'
_symmetry_Int_Tables_number 139
_symmetry_space_group_name_Hall '-I 4 2'
_cell_length_a 4.129
_cell_length_b 4.129
_cell_length_c 8.352
_cell_angle_alpha 90.00
_cell_angle_beta 90.00
_cell_angle_gamma 90.00
loop_
_atom_site_label
_atom_site_type_symbol
_atom_site_fract_x
_atom_site_fract_y
_atom_site_fract_z
La1 La 0.000 0.000 0.000
Ir1 Ir 0.000 0.000 0.500
Os1 Os 0.000 0.500 0.250

***

Record 2
# HgMo2 | the Alexandria database | PBE | relaxed
# Calculated formation energy, meV/atom: 764
# Mass density, Mg/m³: 11.7
# Calculated volume, Å³ per atom: 18.55
# Distance to the lowest polymorph of the same formula, eV per formula unit: 1.079
data_HgMo2
_symmetry_space_group_name_H-M 'I 4/m c m'
_symmetry_Int_Tables_number 140
_symmetry_space_group_name_Hall '-I 4 2c'
_cell_length_a 6.453
_cell_length_b 6.453
_cell_length_c 5.344
_cell_angle_alpha 90.00
_cell_angle_beta 90.00
_cell_angle_gamma 90.00
loop_
_atom_site_label
_atom_site_type_symbol
_atom_site_fract_x
_atom_site_fract_y
_atom_site_fract_z
Hg1 Hg 0.000 0.000 0.250
Mo1 Mo 0.126 0.374 0.000

***

Record 3
# Sc2Ta2In | the Alexandria database | PBE | relaxed
# Calculated formation energy, meV/atom: 172
# Mass density, Mg/m³: 8.7
# Calculated volume, Å³ per atom: 21.55
data_Sc2Ta2In
_symmetry_space_group_name_H-M 'P 4/m b m'
_symmetry_Int_Tables_number 127
_symmetry_space_group_name_Hall '-P 4 2ab'
_cell_length_a 7.453
_cell_length_b 7.453
_cell_length_c 3.880
_cell_angle_alpha 90.00
_cell_angle_beta 90.00
_cell_angle_gamma 90.00
loop_
_atom_site_label
_atom_site_type_symbol
_atom_site_fract_x
_atom_site_fract_y
_atom_site_fract_z
Sc1 Sc 0.168 0.332 0.000
Ta1 Ta 0.126 0.626 0.500
In1 In 0.000 0.000 0.500

***

Question: calculated formation energy of number 2 (HgMo2)?
Answer: 764 meV/atom